[1]
Below is a geometry-optimized Pr2CuSi3Ni4 structure, with properties calculated at the PBE-GGA level.

Lattice parameters (Å, degrees): 4.116 4.116 9.434 90.00 90.00 90.00
Fractional coordinates of all 10 atoms:
Pr (0.000, 0.500, 0.247)
Pr (0.500, 0.000, 0.753)
Cu (0.500, 0.500, 0.000)
Si (0.000, 0.000, 0.000)
Si (0.000, 0.500, 0.622)
Si (0.500, 0.000, 0.378)
Ni (0.000, 0.000, 0.500)
Ni (0.000, 0.500, 0.870)
Ni (0.500, 0.000, 0.130)
Ni (0.500, 0.500, 0.500)

Values from the calculation:
Formation energy without anion corrections, meV per atom: -647

[2]
Below is a geometry-optimized Be2CdMo structure, with properties calculated at the PBE-GGA level.

Lattice parameters (Å, degrees): 2.693 2.693 7.722 90.00 90.00 100.29
Fractional coordinates of all 4 atoms:
Be (0.000, 0.000, 0.229)
Be (0.000, 0.000, 0.771)
Cd (0.500, 0.500, 0.500)
Mo (0.500, 0.500, 0.000)

Values from the calculation:
Formation energy from the elements, kcal/mol of atoms: 6.7

[3]
Below is a geometry-optimized UOsCl structure, with properties calculated at the PBE-GGA level.

Lattice parameters (Å, degrees): 10.293 10.293 8.306 91.91 91.91 20.69
Fractional coordinates of all 12 atoms:
U (0.153, 0.153, 0.101)
U (0.158, 0.158, 0.628)
U (0.842, 0.842, 0.372)
U (0.847, 0.847, 0.899)
Os (0.249, 0.249, 0.375)
Os (0.253, 0.253, 0.875)
Os (0.747, 0.747, 0.125)
Os (0.751, 0.751, 0.625)
Cl (0.071, 0.071, 0.359)
Cl (0.414, 0.414, 0.141)
Cl (0.586, 0.586, 0.859)
Cl (0.929, 0.929, 0.641)

Values from the calculation:
Formation energy without anion corrections, meV per atom: -439

[4]
Below is a geometry-optimized Li4LaPt2 structure, with properties calculated at the PBE-GGA level.

Lattice parameters (Å, degrees): 8.473 8.473 4.053 90.00 90.00 152.85
Fractional coordinates of all 7 atoms:
Li (0.178, 0.822, 0.000)
Li (0.314, 0.686, 0.500)
Li (0.686, 0.314, 0.500)
Li (0.822, 0.178, 0.000)
La (0.500, 0.500, 0.000)
Pt (0.083, 0.917, 0.500)
Pt (0.917, 0.083, 0.500)

Values from the calculation:
Formation energy from the elements, kcal/mol of atoms: -13.5
E above lowest polymorph, eV per atom: 0.031

[5]
Below is a geometry-optimized TiTlIr2 structure, with properties calculated at the PBE-GGA level.

Lattice parameters (Å, degrees): 5.852 5.852 5.852 103.42 103.42 122.39
Fractional coordinates of all 8 atoms:
Ti (0.000, 0.000, 0.000)
Ti (0.750, 0.250, 0.500)
Tl (0.250, 0.750, 0.500)
Tl (0.500, 0.500, 0.000)
Ir (0.081, 0.625, 0.956)
Ir (0.375, 0.331, 0.456)
Ir (0.669, 0.125, 0.044)
Ir (0.875, 0.919, 0.544)

Values from the calculation:
Formation energy from the elements, kcal/mol of atoms: 4.3
E above lowest polymorph, eV per atom: 0.277

[6]
Below is a geometry-optimized Ce6HgGe2 structure, with properties calculated at the PBE-GGA level.

Lattice parameters (Å, degrees): 9.237 9.237 9.237 160.63 124.84 59.02
Fractional coordinates of all 9 atoms:
Ce (0.159, 0.000, 0.159)
Ce (0.168, 0.833, 0.335)
Ce (0.497, 0.833, 0.665)
Ce (0.503, 0.167, 0.335)
Ce (0.832, 0.167, 0.665)
Ce (0.841, 0.000, 0.841)
Hg (0.500, 0.500, 0.000)
Ge (0.156, 0.656, 0.500)
Ge (0.844, 0.344, 0.500)

Values from the calculation:
Formation energy from the elements, kcal/mol of atoms: -5.5
E above lowest polymorph, eV per atom: 0.023

Copy entry 4 word for word.
Below is a geometry-optimized Li4LaPt2 structure, with properties calculated at the PBE-GGA level.

Lattice parameters (Å, degrees): 8.473 8.473 4.053 90.00 90.00 152.85
Fractional coordinates of all 7 atoms:
Li (0.178, 0.822, 0.000)
Li (0.314, 0.686, 0.500)
Li (0.686, 0.314, 0.500)
Li (0.822, 0.178, 0.000)
La (0.500, 0.500, 0.000)
Pt (0.083, 0.917, 0.500)
Pt (0.917, 0.083, 0.500)

Values from the calculation:
Formation energy from the elements, kcal/mol of atoms: -13.5
E above lowest polymorph, eV per atom: 0.031

Repeat the fifth record exactly.
Below is a geometry-optimized TiTlIr2 structure, with properties calculated at the PBE-GGA level.

Lattice parameters (Å, degrees): 5.852 5.852 5.852 103.42 103.42 122.39
Fractional coordinates of all 8 atoms:
Ti (0.000, 0.000, 0.000)
Ti (0.750, 0.250, 0.500)
Tl (0.250, 0.750, 0.500)
Tl (0.500, 0.500, 0.000)
Ir (0.081, 0.625, 0.956)
Ir (0.375, 0.331, 0.456)
Ir (0.669, 0.125, 0.044)
Ir (0.875, 0.919, 0.544)

Values from the calculation:
Formation energy from the elements, kcal/mol of atoms: 4.3
E above lowest polymorph, eV per atom: 0.277

Question: What is the formula in the second record?
Answer: Be2CdMo